First-principles (PBE) data for an optimized crystal structure of Sr2Cd3Ag, as listed in Alexandria.

- ΔE_f: -0.319 eV/atom

Cell lengths 6.4869, 6.4869, 10.0015 Å; angles 112.93, 112.93, 78.37 degrees
Closest atoms and distances in Å follow each position.
Element x y z (fractional)
1 Sr 0.2500 0.7500 0.5000  8 Cd 3.52-3.54, 4 Ag 3.55
2 Sr 0.2539 0.7461 0.0000  2 Ag 3.51, 10 Cd 3.52-3.59
3 Sr 0.7461 0.2539 0.0000  2 Ag 3.51, 10 Cd 3.52-3.59
4 Sr 0.7500 0.2500 0.5000  8 Cd 3.52-3.54, 4 Ag 3.55
5 Cd 0.1685 0.1685 0.3370  1 Ag 2.86, 2 Cd 2.92
6 Cd 0.8321 0.8321 0.1691  1 Ag 2.86, 2 Cd 2.92
7 Cd 0.3370 0.3370 0.1691  1 Ag 2.86, 2 Cd 2.92
8 Cd 0.1679 0.1679 0.8309  1 Ag 2.86, 2 Cd 2.92
9 Cd 0.6630 0.6630 0.8309  1 Ag 2.86, 2 Cd 2.92
10 Cd 0.8315 0.8315 0.6630  1 Ag 2.86, 2 Cd 2.92
11 Ag 0.3337 0.3337 0.6674  3 Cd 2.86
12 Ag 0.6663 0.6663 0.3326  3 Cd 2.86

=====

First-principles (PBE) data for an optimized crystal structure of TlTcO6, as listed in Alexandria.

- Formation energy from raw total energies: -322 meV per atom

Cell lengths 4.6062, 4.6062, 4.6062 Å; angles 92.82, 92.82, 92.82 degrees
Closest atoms and distances in Å follow each position.
Element x y z (fractional)
1 Tl 0.0000 0.0000 0.0000  6 O 2.34
2 O 0.7807 0.3884 0.7807  1 Tc 1.89
3 O 0.2193 0.6116 0.2193  1 Tc 1.89
4 O 0.7807 0.7807 0.3884  1 Tc 1.89
5 O 0.3884 0.7807 0.7807  1 Tc 1.89
6 O 0.2193 0.2193 0.6116  1 Tc 1.89
7 O 0.6116 0.2193 0.2193  1 Tc 1.89
8 Tc 0.5000 0.5000 0.5000  6 O 1.89

=====

First-principles (PBE) data for an optimized crystal structure of GaPb2Au7, as listed in Alexandria.

- ΔE_f: -0.052 eV/atom

Cell lengths 3.9710, 3.9710, 13.7733 Å; angles 90.00, 90.00, 90.00 degrees
Closest atoms and distances in Å follow each position.
Element x y z (fractional)
1 Au 0.5000 0.0000 0.1455  3 Au 2.79-2.82, 2 Ga 2.82
2 Au 0.0000 0.5000 0.6518  5 Au 2.79-2.88, 4 Pb 3.11
3 Au 0.5000 0.0000 0.3482  5 Au 2.79-2.88, 4 Pb 3.11
4 Au 0.0000 0.0000 0.5000  8 Au 2.81-2.88
5 Au 0.0000 0.5000 0.8545  3 Au 2.79-2.82, 2 Ga 2.82
6 Au 0.5000 0.5000 0.5000  8 Au 2.81-2.88
7 Au 0.0000 0.0000 0.0000  4 Ga 2.81, 4 Au 2.82
8 Pb 0.5000 0.0000 0.7497  8 Au 3.11-3.16
9 Pb 0.0000 0.5000 0.2503  8 Au 3.11-3.16
10 Ga 0.5000 0.5000 0.0000  8 Au 2.81-2.82

=====

First-principles (PBE) data for an optimized crystal structure of BiSbW3, as listed in Alexandria.

- Formation energy from raw total energies: 2387 meV per atom
- Distance to the lowest polymorph of the same formula: 0.000 eV per atom

Cell lengths 4.9676, 4.9676, 4.9676 Å; angles 90.00, 90.00, 90.00 degrees
Closest atoms and distances in Å follow each position.
Element x y z (fractional)
1 W 0.0000 0.0000 0.5000  2 Sb 2.48
2 W 0.5000 0.0000 0.0000  2 Sb 2.48
3 W 0.0000 0.5000 0.0000  2 Sb 2.48
4 Bi 0.5000 0.5000 0.5000  12 W 3.51
5 Sb 0.0000 0.0000 0.0000  6 W 2.48

=====

First-principles (PBE) data for an optimized crystal structure of Ce8Hg2Os3, as listed in Alexandria.

- Distance to the lowest polymorph of the same formula: 0.101 eV per atom
- ΔE_f: -0.051 eV/atom

Cell lengths 7.7944, 6.9273, 8.0090 Å; angles 115.62, 107.56, 90.00 degrees
Closest atoms and distances in Å follow each position.
Element x y z (fractional)
1 Ce 0.3766 0.3721 0.2049  2 Os 2.75-2.85
2 Ce 0.6234 0.1673 0.7951  2 Os 2.75-2.85
3 Ce 0.8465 0.1358 0.2716  3 Os 2.76-2.96
4 Ce 0.1535 0.8642 0.7284  3 Os 2.76-2.96
5 Ce 0.9903 0.6192 0.2384  2 Os 2.71
6 Ce 0.3766 0.8327 0.2049  2 Os 2.75-2.85
7 Ce 0.0097 0.3808 0.7616  2 Os 2.71
8 Ce 0.6234 0.6279 0.7951  2 Os 2.75-2.85
9 Hg 0.2740 0.2571 0.5143  6 Ce 3.15-3.22
10 Hg 0.7260 0.7429 0.4857  6 Ce 3.15-3.22
11 Os 0.0000 0.2010 0.0000  6 Ce 2.71-2.96, 1 Os 2.78
12 Os 0.5000 0.0000 0.0000  6 Ce 2.75-2.76
13 Os 0.0000 0.7990 0.0000  6 Ce 2.71-2.96, 1 Os 2.78

=====

First-principles (PBE) data for an optimized crystal structure of Na6PbO5, as listed in Alexandria.

- Formation energy from raw total energies: -1283 meV per atom

Cell lengths 6.2086, 6.2086, 6.2086 Å; angles 101.88, 101.88, 126.05 degrees
Closest atoms and distances in Å follow each position.
Element x y z (fractional)
1 O 0.2074 0.9347 0.2727  1 Pb 2.21, 2 Na 2.23-2.31
2 O 0.9347 0.2074 0.2727  1 Pb 2.21, 2 Na 2.23-2.31
3 O 0.6620 0.9347 0.7273  1 Pb 2.21, 2 Na 2.23-2.31
4 O 0.4181 0.4181 0.0000  1 Pb 2.14
5 O 0.9347 0.6620 0.7273  1 Pb 2.21, 2 Na 2.23-2.31
6 Na 0.3976 0.7938 0.0000  5 O 2.41-2.54
7 Na 0.6960 0.1960 0.5000  4 O 2.23-2.31
8 Na 0.3976 0.3976 0.6038  5 O 2.41-2.54
9 Na 0.7938 0.3976 0.0000  5 O 2.41-2.54
10 Na 0.1960 0.6960 0.5000  4 O 2.23-2.31
11 Na 0.7938 0.7938 0.3962  5 O 2.41-2.54
12 Pb 0.0381 0.0381 0.0000  5 O 2.14-2.21